DFT (GGA+U) results for crystalline FeSe2O6 at its relaxed geometry.

a b c (Å): 5.7099 6.7007 6.7007
angles (deg): 96.80 80.22 80.22
Last column: nearest neighbours and their distance in Å.
Sites, in units of the cell vectors:
Se1 0.2666 0.5633 0.8041  3 O 1.68-1.84
Fe1 0.2500 0.0832 0.9168  6 O 2.00-2.13
O1 0.1126 0.8114 0.9568  1 Se 1.84
O2 0.3055 0.3715 0.9563  1 Se 1.74
Fe2 0.7500 0.9168 0.0832  6 O 2.00-2.13
Se2 0.2334 0.1959 0.4367  3 O 1.68-1.84
O3 0.6126 0.9568 0.8114  1 Se 1.84
O4 0.5297 0.7023 0.5117  1 Se 1.68
O5 0.8055 0.9563 0.3715  1 Se 1.74
O6 0.0297 0.5117 0.7023  1 Se 1.68
Se3 0.7666 0.8041 0.5633  3 O 1.68-1.84
Se4 0.7334 0.4367 0.1959  3 O 1.68-1.84
O7 0.4703 0.2977 0.4883  1 Se 1.68
O8 0.1945 0.0437 0.6285  1 Se 1.74
O9 0.3874 0.0432 0.1886  1 Se 1.84
O10 0.8874 0.1886 0.0432  1 Se 1.84
O11 0.6945 0.6285 0.0437  1 Se 1.74
O12 0.9703 0.4883 0.2977  1 Se 1.68

## Properties
For the magnetic moment, the calculation gives 7.976 μB/cell. The space group is C2/c (15). As for the density of states at the Fermi level: 4.41 states/eV/cell. The value obtained for the total DFT energy (no corrections) is -5.447 eV/atom.